# Cu5F8 (PBE, optimized geometry)
data_Cu5F8
_chemical_formula_sum 'Cu10 F16'
_symmetry_space_group_name_H-M 'C 1 2/m 1'
_symmetry_Int_Tables_number 12
_symmetry_space_group_name_Hall '-C 2y'
_cell_length_a 9.741
_cell_length_b 6.315
_cell_length_c 7.357
_cell_angle_alpha 90.00
_cell_angle_beta 130.08
_cell_angle_gamma 90.00
loop_
_atom_site_label
_atom_site_type_symbol
_atom_site_fract_x
_atom_site_fract_y
_atom_site_fract_z
_atom_site_occupancy
Cu1 Cu 0.000 0.000 0.000 1
Cu2 Cu 0.000 0.243 0.500 1
Cu3 Cu 0.186 0.500 0.991 1
F1 F 0.053 0.219 0.863 1
F2 F 0.161 0.500 0.689 1
F3 F 0.181 0.000 0.661 1
# ΔE_f (raw) (eV/f.u.): -17.61